First-principles (PBE-GGA) data for crystalline Ge2AuSe at its relaxed geometry, as listed in Alexandria via LeMat-Bulk.

Unit cell a=6.050 b=6.050 c=11.613 alpha=90.00 beta=90.00 gamma=90.00
Fractional coordinates of all 16 atoms:
Ge (0.234, 0.250, 0.125)
Ge (0.250, 0.734, 0.375)
Ge (0.250, 0.766, 0.875)
Ge (0.266, 0.250, 0.625)
Ge (0.734, 0.750, 0.625)
Ge (0.750, 0.234, 0.875)
Ge (0.750, 0.266, 0.375)
Ge (0.766, 0.750, 0.125)
Au (0.000, 0.000, 0.000)
Au (0.000, 0.500, 0.250)
Au (0.500, 0.000, 0.750)
Au (0.500, 0.500, 0.500)
Se (0.000, 0.000, 0.500)
Se (0.000, 0.500, 0.750)
Se (0.500, 0.000, 0.250)
Se (0.500, 0.500, 0.000)

Computed properties:
Fermi-level density of states: 1.5 states/eV/f.u.
formation energy without anion corrections: 0.02 eV per atom


First-principles (PBE-GGA) data for crystalline Ge3AuSe at its relaxed geometry, as listed in Alexandria via LeMat-Bulk.

Unit cell a=5.126 b=5.126 c=5.126 alpha=90.00 beta=90.00 gamma=90.00
Fractional coordinates of all 5 atoms:
Ge (0.000, 0.000, 0.500)
Ge (0.000, 0.500, 0.000)
Ge (0.500, 0.000, 0.000)
Au (0.500, 0.500, 0.500)
Se (0.000, 0.000, 0.000)

Computed properties:
E above lowest polymorph: 1.16 eV/f.u.
Fermi-level density of states: 3.3 states/eV/f.u.
formation energy without anion corrections: 0.79 eV per atom


First-principles (PBE-GGA) data for crystalline Ge5Au3Se12 at its relaxed geometry, as listed in Alexandria via LeMat-Bulk.

Unit cell a=13.966 b=13.966 c=13.966 alpha=109.47 beta=109.47 gamma=109.47
Fractional coordinates of all 80 atoms:
Ge (0.000, 0.000, 0.000)
Ge (0.000, 0.000, 0.500)
Ge (0.000, 0.500, 0.000)
Ge (0.000, 0.500, 0.500)
Ge (0.125, 0.750, 0.875)
Ge (0.125, 0.875, 0.250)
Ge (0.250, 0.125, 0.875)
Ge (0.250, 0.625, 0.375)
Ge (0.375, 0.250, 0.625)
Ge (0.375, 0.625, 0.750)
Ge (0.500, 0.000, 0.000)
Ge (0.500, 0.000, 0.500)
Ge (0.500, 0.500, 0.000)
Ge (0.500, 0.500, 0.500)
Ge (0.625, 0.375, 0.250)
Ge (0.625, 0.750, 0.375)
Ge (0.750, 0.375, 0.625)
Ge (0.750, 0.875, 0.125)
Ge (0.875, 0.125, 0.750)
Ge (0.875, 0.250, 0.125)
Au (0.125, 0.250, 0.375)
Au (0.125, 0.375, 0.750)
Au (0.250, 0.375, 0.125)
Au (0.250, 0.875, 0.625)
Au (0.375, 0.125, 0.250)
Au (0.375, 0.750, 0.125)
Au (0.625, 0.250, 0.875)
Au (0.625, 0.875, 0.750)
Au (0.750, 0.125, 0.375)
Au (0.750, 0.625, 0.875)
Au (0.875, 0.625, 0.250)
Au (0.875, 0.750, 0.625)
Se (0.027, 0.196, 0.146)
Se (0.027, 0.331, 0.881)
Se (0.050, 0.696, 0.669)
Se (0.050, 0.854, 0.381)
Se (0.119, 0.646, 0.450)
Se (0.119, 0.973, 0.669)
Se (0.146, 0.027, 0.196)
Se (0.146, 0.619, 0.950)
Se (0.169, 0.196, 0.550)
Se (0.169, 0.473, 0.619)
Se (0.196, 0.146, 0.027)
Se (0.196, 0.550, 0.169)
Se (0.304, 0.331, 0.950)
Se (0.304, 0.473, 0.354)
Se (0.331, 0.881, 0.027)
Se (0.331, 0.950, 0.304)
Se (0.354, 0.304, 0.473)
Se (0.354, 0.550, 0.881)
Se (0.381, 0.050, 0.854)
Se (0.381, 0.831, 0.527)
Se (0.450, 0.119, 0.646)
Se (0.450, 0.831, 0.804)
Se (0.473, 0.354, 0.304)
Se (0.473, 0.619, 0.169)
Se (0.527, 0.381, 0.831)
Se (0.527, 0.646, 0.696)
Se (0.550, 0.169, 0.196)
Se (0.550, 0.881, 0.354)
Se (0.619, 0.169, 0.473)
Se (0.619, 0.950, 0.146)
Se (0.646, 0.450, 0.119)
Se (0.646, 0.696, 0.527)
Se (0.669, 0.050, 0.696)
Se (0.669, 0.119, 0.973)
Se (0.696, 0.527, 0.646)
Se (0.696, 0.669, 0.050)
Se (0.804, 0.450, 0.831)
Se (0.804, 0.854, 0.973)
Se (0.831, 0.527, 0.381)
Se (0.831, 0.804, 0.450)
Se (0.854, 0.381, 0.050)
Se (0.854, 0.973, 0.804)
Se (0.881, 0.027, 0.331)
Se (0.881, 0.354, 0.550)
Se (0.950, 0.146, 0.619)
Se (0.950, 0.304, 0.331)
Se (0.973, 0.669, 0.119)
Se (0.973, 0.804, 0.854)

Computed properties:
Fermi-level density of states: 14.4 states/eV/f.u.
formation energy without anion corrections: 0.07 eV per atom


First-principles (PBE-GGA) data for crystalline GeAu2Se4 at its relaxed geometry, as listed in Alexandria via LeMat-Bulk.

Unit cell a=6.492 b=6.492 c=9.345 alpha=90.00 beta=90.00 gamma=90.00
Fractional coordinates of all 14 atoms:
Ge (0.000, 0.000, 0.000)
Ge (0.500, 0.500, 0.500)
Au (0.000, 0.500, 0.250)
Au (0.000, 0.500, 0.750)
Au (0.500, 0.000, 0.250)
Au (0.500, 0.000, 0.750)
Se (0.229, 0.229, 0.126)
Se (0.229, 0.771, 0.874)
Se (0.271, 0.271, 0.626)
Se (0.271, 0.729, 0.374)
Se (0.729, 0.271, 0.374)
Se (0.729, 0.729, 0.626)
Se (0.771, 0.229, 0.874)
Se (0.771, 0.771, 0.126)

Computed properties:
Fermi-level density of states: 6.9 states/eV/f.u.
formation energy without anion corrections: -0.01 eV per atom


First-principles (PBE-GGA) data for crystalline Ge3Au12Se5 at its relaxed geometry, as listed in Alexandria via LeMat-Bulk.

Unit cell a=13.316 b=13.316 c=13.316 alpha=109.47 beta=109.47 gamma=109.47
Fractional coordinates of all 80 atoms:
Ge (0.125, 0.250, 0.375)
Ge (0.125, 0.375, 0.750)
Ge (0.250, 0.375, 0.125)
Ge (0.250, 0.875, 0.625)
Ge (0.375, 0.125, 0.250)
Ge (0.375, 0.750, 0.125)
Ge (0.625, 0.250, 0.875)
Ge (0.625, 0.875, 0.750)
Ge (0.750, 0.125, 0.375)
Ge (0.750, 0.625, 0.875)
Ge (0.875, 0.625, 0.250)
Ge (0.875, 0.750, 0.625)
Au (0.060, 0.624, 0.384)
Au (0.060, 0.936, 0.676)
Au (0.064, 0.240, 0.124)
Au (0.064, 0.324, 0.940)
Au (0.116, 0.740, 0.676)
Au (0.116, 0.876, 0.440)
Au (0.124, 0.064, 0.240)
Au (0.124, 0.560, 0.884)
Au (0.176, 0.240, 0.616)
Au (0.176, 0.436, 0.560)
Au (0.240, 0.124, 0.064)
Au (0.240, 0.616, 0.176)
Au (0.260, 0.324, 0.884)
Au (0.260, 0.436, 0.376)
Au (0.324, 0.884, 0.260)
Au (0.324, 0.940, 0.064)
Au (0.376, 0.260, 0.436)
Au (0.376, 0.616, 0.940)
Au (0.384, 0.060, 0.624)
Au (0.384, 0.824, 0.760)
Au (0.436, 0.376, 0.260)
Au (0.436, 0.560, 0.176)
Au (0.440, 0.116, 0.876)
Au (0.440, 0.824, 0.564)
Au (0.560, 0.176, 0.436)
Au (0.560, 0.884, 0.124)
Au (0.564, 0.440, 0.824)
Au (0.564, 0.624, 0.740)
Au (0.616, 0.176, 0.240)
Au (0.616, 0.940, 0.376)
Au (0.624, 0.384, 0.060)
Au (0.624, 0.740, 0.564)
Au (0.676, 0.060, 0.936)
Au (0.676, 0.116, 0.740)
Au (0.740, 0.564, 0.624)
Au (0.740, 0.676, 0.116)
Au (0.760, 0.384, 0.824)
Au (0.760, 0.876, 0.936)
Au (0.824, 0.564, 0.440)
Au (0.824, 0.760, 0.384)
Au (0.876, 0.440, 0.116)
Au (0.876, 0.936, 0.760)
Au (0.884, 0.124, 0.560)
Au (0.884, 0.260, 0.324)
Au (0.936, 0.676, 0.060)
Au (0.936, 0.760, 0.876)
Au (0.940, 0.064, 0.324)
Au (0.940, 0.376, 0.616)
Se (0.000, 0.000, 0.000)
Se (0.000, 0.000, 0.500)
Se (0.000, 0.500, 0.000)
Se (0.000, 0.500, 0.500)
Se (0.125, 0.750, 0.875)
Se (0.125, 0.875, 0.250)
Se (0.250, 0.125, 0.875)
Se (0.250, 0.625, 0.375)
Se (0.375, 0.250, 0.625)
Se (0.375, 0.625, 0.750)
Se (0.500, 0.000, 0.000)
Se (0.500, 0.000, 0.500)
Se (0.500, 0.500, 0.000)
Se (0.500, 0.500, 0.500)
Se (0.625, 0.375, 0.250)
Se (0.625, 0.750, 0.375)
Se (0.750, 0.375, 0.625)
Se (0.750, 0.875, 0.125)
Se (0.875, 0.125, 0.750)
Se (0.875, 0.250, 0.125)

Computed properties:
Fermi-level density of states: 10.8 states/eV/f.u.
formation energy without anion corrections: 0.11 eV per atom


First-principles (PBE-GGA) data for crystalline Ge2AuSe at its relaxed geometry, as listed in Alexandria via LeMat-Bulk.

Unit cell a=3.740 b=3.740 c=7.042 alpha=90.00 beta=90.00 gamma=120.00
Fractional coordinates of all 4 atoms:
Ge (0.333, 0.667, 0.257)
Ge (0.667, 0.333, 0.743)
Au (0.000, 0.000, 0.500)
Se (0.000, 0.000, 0.000)

Computed properties:
Fermi-level density of states: 1.9 states/eV/f.u.
formation energy without anion corrections: 0.06 eV per atom


First-principles (PBE-GGA) data for crystalline Ge2AuSe4 at its relaxed geometry, as listed in Alexandria via LeMat-Bulk.

Unit cell a=7.778 b=7.778 c=6.403 alpha=90.00 beta=90.00 gamma=90.00
Fractional coordinates of all 14 atoms:
Ge (0.000, 0.500, 0.250)
Ge (0.000, 0.500, 0.750)
Ge (0.500, 0.000, 0.250)
Ge (0.500, 0.000, 0.750)
Au (0.000, 0.000, 0.000)
Au (0.500, 0.500, 0.500)
Se (0.158, 0.307, 0.000)
Se (0.193, 0.658, 0.500)
Se (0.307, 0.842, 0.000)
Se (0.342, 0.193, 0.500)
Se (0.658, 0.807, 0.500)
Se (0.693, 0.158, 0.000)
Se (0.807, 0.342, 0.500)
Se (0.842, 0.693, 0.000)

Computed properties:
Fermi-level density of states: 4.4 states/eV/f.u.
formation energy without anion corrections: -0.07 eV per atom


First-principles (PBE-GGA) data for crystalline GeAuSe2 at its relaxed geometry, as listed in Alexandria via LeMat-Bulk.

Unit cell a=5.989 b=5.989 c=12.228 alpha=90.00 beta=90.00 gamma=90.00
Fractional coordinates of all 16 atoms:
Ge (0.000, 0.000, 0.000)
Ge (0.000, 0.500, 0.250)
Ge (0.500, 0.000, 0.750)
Ge (0.500, 0.500, 0.500)
Au (0.000, 0.000, 0.500)
Au (0.000, 0.500, 0.750)
Au (0.500, 0.000, 0.250)
Au (0.500, 0.500, 0.000)
Se (0.242, 0.250, 0.125)
Se (0.250, 0.742, 0.375)
Se (0.250, 0.758, 0.875)
Se (0.258, 0.250, 0.625)
Se (0.742, 0.750, 0.625)
Se (0.750, 0.242, 0.875)
Se (0.750, 0.258, 0.375)
Se (0.758, 0.750, 0.125)

Computed properties:
Fermi-level density of states: 2.8 states/eV/f.u.
formation energy without anion corrections: 0.00 eV per atom


First-principles (PBE-GGA) data for crystalline GeAuSe3 at its relaxed geometry, as listed in Alexandria via LeMat-Bulk.

Unit cell a=4.987 b=4.987 c=4.987 alpha=90.00 beta=90.00 gamma=90.00
Fractional coordinates of all 5 atoms:
Ge (0.000, 0.000, 0.000)
Au (0.500, 0.500, 0.500)
Se (0.000, 0.000, 0.500)
Se (0.000, 0.500, 0.000)
Se (0.500, 0.000, 0.000)

Computed properties:
Fermi-level density of states: 4.4 states/eV/f.u.
formation energy without anion corrections: 0.64 eV per atom


First-principles (PBE-GGA) data for crystalline Sm6Ge2AuSe3 at its relaxed geometry, as listed in Alexandria via LeMat-Bulk.

Unit cell a=9.493 b=9.493 c=8.517 alpha=104.71 beta=104.71 gamma=25.64
Fractional coordinates of all 12 atoms:
Sm (0.001, 0.001, 0.257)
Sm (0.330, 0.330, 0.424)
Sm (0.330, 0.330, 0.909)
Sm (0.670, 0.670, 0.091)
Sm (0.670, 0.670, 0.576)
Sm (0.999, 0.999, 0.743)
Ge (0.164, 0.164, 0.329)
Ge (0.836, 0.836, 0.671)
Au (0.500, 0.500, 0.000)
Se (0.167, 0.167, 0.832)
Se (0.500, 0.500, 0.500)
Se (0.833, 0.833, 0.168)

Computed properties:
Fermi-level density of states: 5.5 states/eV/f.u.
formation energy without anion corrections: -1.35 eV per atom


First-principles (PBE-GGA) data for crystalline Sm4GeAuSe2 at its relaxed geometry, as listed in Alexandria via LeMat-Bulk.

Unit cell a=7.199 b=4.200 c=7.473 alpha=90.00 beta=108.73 gamma=90.00
Fractional coordinates of all 8 atoms:
Sm (0.242, 0.000, 0.246)
Sm (0.244, 0.500, 0.747)
Sm (0.756, 0.500, 0.253)
Sm (0.758, 0.000, 0.754)
Ge (0.000, 0.500, 0.000)
Au (0.500, 0.000, 0.000)
Se (0.000, 0.000, 0.500)
Se (0.500, 0.500, 0.500)

Computed properties:
Fermi-level density of states: 4.8 states/eV/f.u.
formation energy without anion corrections: -1.32 eV per atom


First-principles (PBE-GGA) data for crystalline SnGeAuSe at its relaxed geometry, as listed in Alexandria via LeMat-Bulk.

Unit cell a=11.272 b=11.272 c=11.272 alpha=24.32 beta=24.32 gamma=24.32
Fractional coordinates of all 8 atoms:
Sn (0.208, 0.208, 0.208)
Sn (0.792, 0.792, 0.792)
Ge (0.382, 0.382, 0.382)
Ge (0.618, 0.618, 0.618)
Au (0.120, 0.120, 0.120)
Au (0.880, 0.880, 0.880)
Se (0.298, 0.298, 0.298)
Se (0.702, 0.702, 0.702)

Computed properties:
Fermi-level density of states: 1.2 states/eV/f.u.
formation energy without anion corrections: -0.01 eV per atom